No. 1
Below is crystalline InGa6Ag8 at its relaxed geometry, with properties calculated at the PBE-GGA level.

Results
- space-group type = R-3, No. 148

Lattice parameters (Å, degrees): 6.8466 6.8466 6.8466 74.32 74.32 74.32
Positions (direct):
1 Ag 0.2068 0.2068 0.2068
2 Ga 0.4332 0.8317 0.6321
3 Ag 0.1397 0.8071 0.4408
4 Ag 0.7932 0.7932 0.7932
5 Ag 0.8071 0.4408 0.1397
6 Ga 0.5668 0.1683 0.3679
7 Ag 0.8603 0.1929 0.5592
8 Ag 0.1929 0.5592 0.8603
9 Ag 0.5592 0.8603 0.1929
10 Ga 0.6321 0.4332 0.8317
11 In 0.0000 0.0000 0.0000
12 Ag 0.4408 0.1397 0.8071
13 Ga 0.1683 0.3679 0.5668
14 Ga 0.3679 0.5668 0.1683
15 Ga 0.8317 0.6321 0.4332

No. 2
Below is crystalline In2GaAg8 at its relaxed geometry, with properties calculated at the PBE-GGA level.

Results
- offset from the most stable computed form (meV per atom) = 0
- space-group type = C2/m, No. 12

Lattice parameters (Å, degrees): 4.2278 6.6176 7.8620 104.07 105.60 90.00
Positions (direct):
1 Ag 0.0420 0.7295 0.0841
2 Ag 0.9580 0.2705 0.9159
3 In 0.7784 0.3512 0.5567
4 Ag 0.6760 0.9138 0.3520
5 Ag 0.1359 0.1815 0.2718
6 Ag 0.5885 0.4441 0.1769
7 Ga 0.5000 0.0000 0.0000
8 Ag 0.4115 0.5559 0.8231
9 Ag 0.8641 0.8185 0.7282
10 Ag 0.3240 0.0862 0.6480
11 In 0.2216 0.6488 0.4433

No. 3
Below is crystalline In5GaAg8 at its relaxed geometry, with properties calculated at the PBE-GGA level.

Results
- space-group type = I-4, No. 82

Lattice parameters (Å, degrees): 7.2844 7.2844 7.2844 112.71 103.17 112.71
Positions (direct):
1 Ag 0.1559 0.7418 0.5849
2 In 0.9095 0.8631 0.3232
3 Ag 0.8430 0.2582 0.4141
4 Ag 0.6990 0.9019 0.9471
5 In 0.9535 0.4136 0.0905
6 Ag 0.0452 0.0981 0.7971
7 In 0.4601 0.1369 0.0465
8 In 0.5000 0.0000 0.5000
9 Ag 0.2029 0.2481 0.3010
10 Ag 0.4151 0.5710 0.1570
11 Ag 0.0529 0.7519 0.9548
12 Ga 0.2500 0.5000 0.7500
13 In 0.6768 0.5864 0.5399
14 Ag 0.5859 0.4290 0.8441

No. 4
Below is crystalline In3GaAg at its relaxed geometry, with properties calculated at the PBE-GGA level.

Results
- offset from the most stable computed form (meV per atom) = 287
- space-group type = Pm-3m, No. 221

Lattice parameters (Å, degrees): 5.3461 5.3461 5.3461 90.00 90.00 90.00
Positions (direct):
1 In 0.0000 0.5000 0.0000
2 Ag 0.0000 0.0000 0.0000
3 In 0.5000 0.0000 0.0000
4 In 0.0000 0.0000 0.5000
5 Ga 0.5000 0.5000 0.5000

No. 5
Below is crystalline In2GaAg2 at its relaxed geometry, with properties calculated at the PBE-GGA level.

Results
- offset from the most stable computed form (meV per atom) = 0
- space-group type = C2/m, No. 12

Lattice parameters (Å, degrees): 4.5190 5.8175 5.8181 58.00 62.36 62.36
Positions (direct):
1 In 0.7098 0.8076 0.3075
2 Ag 0.0000 0.7561 0.7438
3 In 0.2902 0.1924 0.6925
4 Ga 0.5000 0.5000 0.0000
5 Ag 0.0000 0.2439 0.2562

No. 6
Below is crystalline In2Ga3Ag8 at its relaxed geometry, with properties calculated at the PBE-GGA level.

Results
- offset from the most stable computed form (meV per atom) = 30
- space-group type = C2/m, No. 12

Lattice parameters (Å, degrees): 5.7386 7.5521 7.2342 121.46 102.52 90.00
Positions (direct):
1 Ga 0.0000 0.1833 0.0000
2 Ag 0.1335 0.4201 0.8402
3 Ag 0.4397 0.8065 0.2256
4 Ag 0.7419 0.2180 0.4360
5 Ag 0.4397 0.4191 0.2256
6 Ag 0.5603 0.5809 0.7744
7 Ag 0.8665 0.5799 0.1598
8 In 0.2246 0.2076 0.4151
9 Ga 0.0000 0.8167 0.0000
10 In 0.7754 0.7924 0.5849
11 Ag 0.2581 0.7820 0.5640
12 Ag 0.5603 0.1935 0.7744
13 Ga 0.5000 0.0000 0.0000

No. 7
Below is crystalline InGa3Ag4 at its relaxed geometry, with properties calculated at the PBE-GGA level.

Results
- space-group type = Imm2, No. 44

Lattice parameters (Å, degrees): 6.4114 6.4114 6.4114 75.85 131.98 125.14
Positions (direct):
1 Ag 0.0855 0.7500 0.3355
2 Ga 0.5719 0.2266 0.7985
3 Ag 0.5855 0.2500 0.3355
4 Ga 0.5719 0.7734 0.3453
5 In 0.3382 0.5000 0.8382
6 Ag 0.0708 0.2485 0.3194
7 Ga 0.8564 0.0000 0.8564
8 Ag 0.0708 0.7515 0.8223

No. 8
Below is crystalline InGaAg5 at its relaxed geometry, with properties calculated at the PBE-GGA level.

Results
- offset from the most stable computed form (meV per atom) = 42
- space-group type = C2/c, No. 15

Lattice parameters (Å, degrees): 5.5060 5.5060 10.5323 81.72 81.72 60.06
Positions (direct):
1 Ag 0.7288 0.5859 0.4441
2 Ag 0.6864 0.8417 0.6674
3 Ag 0.3136 0.1583 0.3326
4 Ag 0.1807 0.8193 0.7500
5 Ag 0.1583 0.3136 0.8326
6 Ga 0.0000 0.0000 0.0000
7 In 0.6777 0.3223 0.7500
8 Ag 0.5859 0.7288 0.9441
9 Ag 0.8193 0.1807 0.2500
10 Ag 0.8417 0.6864 0.1674
11 Ag 0.4141 0.2712 0.0559
12 Ga 0.0000 0.0000 0.5000
13 In 0.3223 0.6777 0.2500
14 Ag 0.2712 0.4141 0.5559

Calculated density (Mg/m³), listed in the same order as above: 8.0, 9.4, 8.5, 5.7, 7.8, 8.4, 8.0, 8.8
Calculated formation energy (eV per formula unit), listed in the same order as above: 0.6, -0.1, 0.6, 1.6, 0.2, 0.7, 0.5, 0.4
Calculated N(E_F) (states/eV per cell), listed in the same order as above: 4.79, 2.40, 4.85, 2.40, 2.31, 3.90, 2.95, 3.76